Record 1
CePm3Ni8 (PBE, optimized geometry); volume = 191.4 Å³/cell; E_tot = -5.881 eV/atom
1.0
2.567 1.482 8.384
-2.567 1.482 8.384
0.000 -2.964 8.384
Ce Pm Ni
1 3 8
Cartesian
0.000 0.000 0.000 Ce
0.000 0.000 9.389 Pm
0.000 0.000 12.535 Pm
0.000 0.000 21.999 Pm
0.000 0.000 4.687 Ni
-1.286 -0.743 19.347 Ni
0.000 -1.480 15.180 Ni
-1.282 0.740 15.180 Ni
0.000 0.000 17.255 Ni
1.286 -0.743 19.347 Ni
1.282 0.740 15.180 Ni
0.000 1.486 19.347 Ni

Record 2
SrTbGaSn (PBE, optimized geometry); volume = 449.5 Å³/cell; E_tot = -3.791 eV/atom
1.0
7.660 0.000 0.000
0.000 7.660 0.000
0.000 0.000 7.660
Sr Tb Ga Sn
4 4 4 4
Cartesian
0.000 0.000 0.000 Sr
0.000 3.830 3.830 Sr
3.830 0.000 3.830 Sr
3.830 3.830 0.000 Sr
0.000 0.000 3.830 Tb
0.000 3.830 0.000 Tb
3.830 0.000 0.000 Tb
3.830 3.830 3.830 Tb
1.915 1.915 5.745 Ga
1.915 5.745 1.915 Ga
5.745 1.915 1.915 Ga
5.745 5.745 5.745 Ga
1.915 1.915 1.915 Sn
1.915 5.745 5.745 Sn
5.745 1.915 5.745 Sn
5.745 5.745 1.915 Sn

Record 3
NbHgSbI2 (PBE, optimized geometry); energy above the most stable polymorph in this dataset = 0.000 eV/atom; volume = 173.1 Å³/cell; E_tot = -3.372 eV/atom; energy relative to the elements, uncorrected = 0.147 eV/atom
1.0
5.632 0.000 0.000
0.000 5.632 0.000
0.000 0.000 5.456
Nb Hg Sb I
1 1 1 2
Cartesian
0.000 0.000 0.000 Nb
2.816 2.816 2.728 Hg
0.000 0.000 2.728 Sb
0.000 2.816 0.000 I
2.816 0.000 0.000 I

Record 4
DyScPd (PBE, optimized geometry); energy above the most stable polymorph in this dataset = 0.000 eV/atom; volume = 207.2 Å³/cell; E_tot = -6.001 eV/atom
1.0
7.117 0.000 0.000
-3.559 6.164 0.000
0.000 0.000 4.724
Dy Sc Pd
3 3 3
Cartesian
-2.109 3.652 0.000 Dy
1.450 2.512 0.000 Dy
4.217 0.000 0.000 Dy
-0.921 1.596 2.362 Sc
1.843 0.000 2.362 Sc
2.637 4.568 2.362 Sc
0.000 0.000 0.000 Pd
0.000 4.109 2.362 Pd
3.559 2.055 2.362 Pd

Record 5
CaTb2Ce (PBE, optimized geometry); energy above the most stable polymorph in this dataset = 0.159 eV/atom; volume = 542.9 Å³/cell; E_tot = -4.055 eV/atom
1.0
8.158 0.000 0.000
0.000 8.158 0.000
0.000 0.000 8.158
Ca Tb Ce
4 8 4
Cartesian
0.000 0.000 0.000 Ca
0.000 4.079 4.079 Ca
4.079 0.000 4.079 Ca
4.079 4.079 0.000 Ca
2.039 2.039 2.039 Tb
2.039 2.039 6.118 Tb
2.039 6.118 2.039 Tb
2.039 6.118 6.118 Tb
6.118 2.039 2.039 Tb
6.118 2.039 6.118 Tb
6.118 6.118 2.039 Tb
6.118 6.118 6.118 Tb
0.000 0.000 4.079 Ce
0.000 4.079 0.000 Ce
4.079 0.000 0.000 Ce
4.079 4.079 4.079 Ce

Record 6
GdDyTlZn (PBE, optimized geometry); volume = 407.7 Å³/cell; E_tot = -5.926 eV/atom
1.0
7.415 0.000 0.000
0.000 7.415 0.000
0.000 0.000 7.415
Gd Dy Tl Zn
4 4 4 4
Cartesian
0.000 0.000 0.000 Gd
0.000 3.708 3.708 Gd
3.708 0.000 3.708 Gd
3.708 3.708 0.000 Gd
0.000 0.000 3.708 Dy
0.000 3.708 0.000 Dy
3.708 0.000 0.000 Dy
3.708 3.708 3.708 Dy
1.854 1.854 1.854 Tl
1.854 5.561 5.561 Tl
5.561 1.854 5.561 Tl
5.561 5.561 1.854 Tl
1.854 1.854 5.561 Zn
1.854 5.561 1.854 Zn
5.561 1.854 1.854 Zn
5.561 5.561 5.561 Zn

Record 7
Ti3AlPd (PBE, optimized geometry); energy above the most stable polymorph in this dataset = 0.000 eV/atom; volume = 328.4 Å³/cell; E_tot = -6.832 eV/atom
1.0
12.769 0.000 0.000
0.000 2.811 0.000
0.000 0.000 9.148
Ti Al Pd
12 4 4
Cartesian
0.655 0.703 1.076 Ti
0.719 2.108 5.600 Ti
1.809 0.703 7.718 Ti
4.575 2.108 3.144 Ti
5.665 0.703 1.026 Ti
5.729 2.108 5.651 Ti
7.040 0.703 3.498 Ti
7.103 2.108 8.122 Ti
8.194 0.703 6.004 Ti
10.959 2.108 1.430 Ti
12.050 0.703 3.548 Ti
12.113 2.108 8.072 Ti
3.176 0.703 5.273 Al
3.208 2.108 0.699 Al
9.560 0.703 8.449 Al
9.593 2.108 3.875 Al
1.902 2.108 3.201 Pd
4.483 0.703 7.775 Pd
8.286 2.108 1.373 Pd
10.867 0.703 5.947 Pd

Record 8
RbHfSc (PBE, optimized geometry); energy above the most stable polymorph in this dataset = 0.126 eV/atom; volume = 515.2 Å³/cell; E_tot = -5.253 eV/atom
1.0
8.468 0.000 0.000
0.000 4.891 0.000
-2.861 0.000 12.439
Rb Hf Sc
4 4 4
Cartesian
0.000 0.000 0.000 Rb
-0.001 0.000 8.413 Rb
4.234 2.445 0.000 Rb
4.233 2.445 8.413 Rb
0.001 0.000 4.314 Hf
2.824 0.000 5.658 Hf
4.235 2.445 4.314 Hf
7.058 2.445 5.658 Hf
1.412 2.445 4.344 Sc
2.824 0.000 2.826 Sc
5.647 0.000 4.344 Sc
7.058 2.445 2.826 Sc

Number 1: total magnetic moment 0.338 μB per cell. Number 2: total magnetic moment 0.000 μB per cell. Number 3: total magnetic moment 0.000 μB per cell. Number 4: total magnetic moment 0.000 μB per cell. Number 5: total magnetic moment 8.387 μB per cell. Number 6: total magnetic moment 31.603 μB per cell. Number 7: total magnetic moment 0.000 μB per cell. Number 8: total magnetic moment 0.000 μB per cell.